Entry 1
DFT (GGA-PBE) results for an optimized crystal structure of MnHg2Mo.

abc: 5.0085 5.0085 5.2603
angles: 79.91 79.91 34.49
Each line ends with the local moment (μB).
Fractional positions:
Hg  0.0025  0.0025  0.9985  -0.03
Hg  0.4975  0.4975  0.5015  -0.03
Mn  0.7500  0.7500  0.7500  3.64
Mo  0.2500  0.2500  0.2500  -0.73

Calculated values
DOS at the Fermi energy in states/eV/atom: 0.9078
Calculated volume in Å³ per atom: 18.4
Symmetry: C2/m (12)

***

Entry 2
DFT (GGA-PBE) results for an optimized crystal structure of MnHg2Mo.

abc: 2.9075 2.9075 8.4809
angles: 90.00 90.00 90.05
Each line ends with the local moment (μB).
Fractional positions:
Hg  0.0000  0.0000  0.0080  -0.03
Hg  0.0000  0.0000  0.4920  -0.03
Mn  0.5000  0.5000  0.2500  3.68
Mo  0.5000  0.5000  0.7500  -0.07

Calculated values
DOS at the Fermi energy in states/eV/atom: 0.6290
Calculated volume in Å³ per atom: 17.9
Symmetry: P4/mmm (123)

***

Best to worst by energy: entry 2, entry 1.